No. 1
Entry from Alexandria via LeMat-Bulk: an optimized crystal structure of Ho3BiH (PBE-GGA).

a b c (Å): 4.8278 4.8278 4.8278
angles (deg): 90.00 90.00 90.00
Last column: nearest neighbours and their distance in Å.
Fractional coordinates of all 5 atoms:
1 H 0.0000 0.0000 0.0000  6 Ho 2.41
2 Bi 0.5000 0.5000 0.5000  12 Ho 3.41
3 Ho 0.0000 0.5000 0.0000  2 H 2.41
4 Ho 0.0000 0.0000 0.5000  2 H 2.41
5 Ho 0.5000 0.0000 0.0000  2 H 2.41

---

No. 2
Entry from Alexandria via LeMat-Bulk: an optimized crystal structure of Ho4Bi2H (PBE-GGA).

a b c (Å): 6.3026 6.4484 9.1527
angles (deg): 90.00 107.84 90.00
Last column: nearest neighbours and their distance in Å.
Fractional coordinates of all 14 atoms:
1 Ho 0.5425 0.5015 0.3073  1 H 2.21
2 Ho 0.1509 0.7500 0.9492  1 H 2.21
3 Ho 0.8491 0.2500 0.0508  1 H 2.21
4 Ho 0.5425 0.9985 0.3073  1 H 2.21
5 Ho 0.9301 0.2500 0.6648  1 H 2.18
6 Ho 0.4575 0.0015 0.6927  1 H 2.21
7 Ho 0.4575 0.4985 0.6927  1 H 2.21
8 Ho 0.0699 0.7500 0.3352  1 H 2.18
9 Bi 0.6915 0.7500 0.0228  9 Ho 3.11-3.42, 1 H 3.34
10 Bi 0.3085 0.2500 0.9772  9 Ho 3.11-3.42, 1 H 3.34
11 Bi 0.1338 0.2500 0.3923  8 Ho 3.09-3.33
12 Bi 0.8662 0.7500 0.6077  8 Ho 3.09-3.33
13 H 0.3028 0.7500 0.2014  4 Ho 2.18-2.21
14 H 0.6972 0.2500 0.7986  4 Ho 2.18-2.21

---

No. 3
Entry from Alexandria via LeMat-Bulk: an optimized crystal structure of HoBiH (PBE-GGA).

a b c (Å): 3.9902 6.2472 7.6598
angles (deg): 51.51 58.47 71.26
Last column: nearest neighbours and their distance in Å.
Fractional coordinates of all 6 atoms:
1 Ho 0.1376 0.7348 0.6952  3 H 2.15-2.20
2 Ho 0.2220 0.5541 0.2009  3 H 2.15-2.20
3 Bi 0.4285 0.1914 0.6762  3 H 3.09-3.19, 2 Bi 3.27-3.32, 6 Ho 3.27-3.38
4 Bi 0.9311 0.0974 0.2198  3 H 3.09-3.19, 2 Bi 3.27-3.32, 6 Ho 3.27-3.38
5 H 0.8089 0.7049 0.0390  3 Ho 2.15-2.20
6 H 0.5507 0.5840 0.8571  3 Ho 2.15-2.20

---

No. 4
Entry from Alexandria via LeMat-Bulk: an optimized crystal structure of HoBiH (PBE-GGA).

a b c (Å): 3.5157 6.1546 11.3641
angles (deg): 90.00 90.00 90.00
Last column: nearest neighbours and their distance in Å.
Fractional coordinates of all 12 atoms:
1 H 0.7500 0.9300 0.2014  3 Ho 2.12-2.24
2 H 0.2500 0.4300 0.2986  3 Ho 2.12-2.24
3 H 0.7500 0.5700 0.7014  3 Ho 2.12-2.24
4 H 0.2500 0.0700 0.7986  3 Ho 2.12-2.24
5 Bi 0.2500 0.2470 0.0599  4 H 2.94-3.16
6 Bi 0.7500 0.7470 0.4401  4 H 2.94-3.16
7 Bi 0.2500 0.2530 0.5599  4 H 2.94-3.16
8 Bi 0.7500 0.7530 0.9401  4 H 2.94-3.16
9 Ho 0.7500 0.2367 0.3070  3 H 2.12-2.24
10 Ho 0.2500 0.7367 0.1930  3 H 2.12-2.24
11 Ho 0.7500 0.2633 0.8070  3 H 2.12-2.24
12 Ho 0.2500 0.7633 0.6930  3 H 2.12-2.24

---

no.,raw total energy (eV for the cell shown)
1,-22.98
2,-66.98
3,-27.32
4,-52.76